Te2PPb | the Alexandria database | PBE | optimized geometry; symmetry = No. 123; polymorph energy (0 for the lowest one) = 370 meV/atom; formation energy from raw total energies = 37.0 kJ/mol of atoms; mass density = 7651 kg/m³; M_tot = 0.0 μB/cell
1.0
-0.681 -1.573 4.999
5.240 -0.255 0.634
0.038 3.655 1.156
Te P Pb
2 1 1
Direct
0.500 0.000 0.000
0.000 0.500 0.000
0.500 0.500 0.500
0.000 0.000 0.500